No. 1
## LaTbCdIn (GGA-PBE)

Data for crystalline LaTbCdIn at its relaxed geometry.

Summary:
symmetry: F-43m
Fermi-level density of states: 5.00 states/eV/cell
energy relative to the elements: -0.4129 eV per atom

extended XYZ file:
```
4
Lattice="0.0000 3.8670 3.8670 3.8670 0.0000 3.8670 3.8670 3.8670 0.0000" Properties=species:S:1:pos:R:3 pbc="T T T"
La 0.0000 0.0000 0.0000
Tb 3.8670 3.8670 3.8670
Cd 1.9335 1.9335 1.9335
In 5.8005 5.8005 5.8005
```

=====

No. 2
## LaCdIn2Te (GGA-PBE)

Data for crystalline LaCdIn2Te at its relaxed geometry.

Summary:
symmetry: P4/mmm
energy relative to the elements, uncorrected: 3.131 eV per formula unit
Fermi-level density of states: 4.21 states/eV/cell

extended XYZ file:
```
5
Lattice="6.2032 0.0000 0.0000 0.0000 6.2032 0.0000 0.0000 0.0000 6.0145" Properties=species:S:1:pos:R:3 pbc="T T T"
La 0.0000 0.0000 0.0000
Cd 0.0000 0.0000 3.0072
In 0.0000 3.1016 0.0000
In 3.1016 0.0000 0.0000
Te 3.1016 3.1016 3.0072
```

=====

No. 3
## La2ThCd2In2 (GGA-PBE)

Data for crystalline La2ThCd2In2 at its relaxed geometry.

Summary:
symmetry: R-3m
Fermi-level density of states: 6.38 states/eV/cell
energy relative to the elements: -0.2319 eV per atom

extended XYZ file:
```
7
Lattice="2.5285 1.4598 9.2511 -2.5285 1.4598 9.2511 0.0000 -2.9196 9.2511" Properties=species:S:1:pos:R:3 pbc="T T T"
La 0.0000 0.0000 3.5711
La 0.0000 0.0000 24.1823
Th 0.0000 0.0000 0.0000
Cd 0.0000 0.0000 11.0449
Cd 0.0000 0.0000 16.7085
In 0.0000 0.0000 7.3877
In 0.0000 0.0000 20.3657
```

=====

No. 4
## La4Tl2CdIn (GGA-PBE)

Data for crystalline La4Tl2CdIn at its relaxed geometry.

Summary:
symmetry: R-3m
Fermi-level density of states: 10.89 states/eV/cell
energy relative to the elements: -0.4242 eV per atom

extended XYZ file:
```
8
Lattice="2.8054 1.6197 9.1752 -2.8054 1.6197 9.1752 0.0000 -3.2394 9.1752" Properties=species:S:1:pos:R:3 pbc="T T T"
La 0.0000 0.0000 3.4198
La 0.0000 0.0000 10.3082
La 0.0000 0.0000 17.2174
La 0.0000 0.0000 24.1058
Tl 0.0000 0.0000 6.8010
Tl 0.0000 0.0000 20.7246
Cd 0.0000 0.0000 13.7628
In 0.0000 0.0000 0.0000
```

=====

No. 5
## La4TlCdIn2 (GGA-PBE)

Data for crystalline La4TlCdIn2 at its relaxed geometry.

Summary:
symmetry: R-3m
Fermi-level density of states: 9.97 states/eV/cell
energy relative to the elements: -0.4488 eV per atom

extended XYZ file:
```
8
Lattice="2.8003 1.6168 9.1639 -2.8003 1.6168 9.1639 0.0000 -3.2335 9.1639" Properties=species:S:1:pos:R:3 pbc="T T T"
La 0.0000 0.0000 3.4223
La 0.0000 0.0000 10.2976
La 0.0000 0.0000 17.1942
La 0.0000 0.0000 24.0694
Tl 0.0000 0.0000 13.7459
Cd 0.0000 0.0000 0.0000
In 0.0000 0.0000 6.9246
In 0.0000 0.0000 20.5672
```

=====

No. 6
## LaTlCdIn (GGA-PBE)

Data for crystalline LaTlCdIn at its relaxed geometry.

Summary:
symmetry: Pmmm
Fermi-level density of states: 2.90 states/eV/cell
energy relative to the elements: -0.3628 eV per atom

extended XYZ file:
```
4
Lattice="4.7406 0.0000 0.0000 0.0000 4.8328 0.0000 0.0000 0.0000 4.8395" Properties=species:S:1:pos:R:3 pbc="T T T"
La 0.0000 0.0000 0.0000
Tl 2.3703 2.4164 0.0000
Cd 0.0000 2.4164 2.4198
In 2.3703 0.0000 2.4198
```

=====

No. 7
## LaTlCdIn (GGA-PBE)

Data for crystalline LaTlCdIn at its relaxed geometry.

Summary:
symmetry: F-43m
Fermi-level density of states: 3.68 states/eV/cell
energy relative to the elements: -0.2732 eV per atom

extended XYZ file:
```
4
Lattice="0.0000 3.8144 3.8144 3.8144 0.0000 3.8144 3.8144 3.8144 0.0000" Properties=species:S:1:pos:R:3 pbc="T T T"
La 0.0000 0.0000 0.0000
Tl 5.7216 5.7216 5.7216
Cd 3.8144 3.8144 3.8144
In 1.9072 1.9072 1.9072
```

=====

No. 8
## La2TmCd2In2 (GGA-PBE)

Data for crystalline La2TmCd2In2 at its relaxed geometry.

Summary:
symmetry: R-3m
Fermi-level density of states: 5.14 states/eV/cell
energy relative to the elements: -0.2836 eV per atom

extended XYZ file:
```
7
Lattice="2.4833 1.4338 9.2669 -2.4833 1.4338 9.2669 0.0000 -2.8675 9.2669" Properties=species:S:1:pos:R:3 pbc="T T T"
La 0.0000 0.0000 3.5678
La 0.0000 0.0000 24.2330
Tm 0.0000 0.0000 0.0000
Cd 0.0000 0.0000 10.8310
Cd 0.0000 0.0000 16.9698
In 0.0000 0.0000 7.3934
In 0.0000 0.0000 20.4073
```